No. 1
Compound: In2HPt6
Source: Alexandria
Functional: PBE
Structure: relaxed

Properties
* crystal system: cubic
* space group: Fm-3m, No. 225
* calculated total energy: -0.3923 Ry/atom

a = 5.764 Å, b = 5.764 Å, c = 5.765 Å
α = 60.00°, β = 60.00°, γ = 60.02°
Element x y z (fractional)
In: 0.250 0.250 0.250
In: 0.750 0.750 0.750
H: 0.500 0.500 0.500
Pt: 0.247 0.247 0.752
Pt: 0.247 0.753 0.247
Pt: 0.753 0.247 0.753
Pt: 0.753 0.247 0.247
Pt: 0.247 0.753 0.753
Pt: 0.753 0.753 0.248

---

No. 2
Compound: InH3Pt
Source: Alexandria
Functional: PBE
Structure: relaxed

Properties
* crystal system: cubic
* space group: Pm-3m, No. 221
* calculated total energy: -0.2676 Ry/atom

a = 3.771 Å, b = 3.771 Å, c = 3.771 Å
α = 90.00°, β = 90.00°, γ = 90.00°
Element x y z (fractional)
H: 0.000 0.500 0.000
H: 0.000 0.000 0.500
H: 0.500 0.000 0.000
Pt: 0.000 0.000 0.000
In: 0.500 0.500 0.500